Entry 1:
A relaxed TcAgAu2 crystal. Source: Alexandria, functional GGA-PBE. Values from VASP.

Calculated values
- magnetization (μB per cell) = 0.41
- ΔE_f (meV per atom) = 307

Quantum ESPRESSO input file:
```
&SYSTEM
  ibrav = 0, nat = 4, ntyp = 3
/
ATOMIC_SPECIES
Tc 98.00 Tc.upf
Ag 107.87 Ag.upf
Au 196.97 Au.upf
ATOMIC_POSITIONS angstrom
Tc 0.000 0.000 0.000
Ag 0.000 0.000 21.486
Au 0.000 0.000 7.300
Au 0.000 0.000 14.373
CELL_PARAMETERS angstrom
1.433 0.828 9.572
-1.433 0.828 9.572
0.000 -1.655 9.572
```


Entry 2:
A relaxed TcAgAu2 crystal. Source: Alexandria, functional GGA-PBE. Values from VASP.

Calculated values
- magnetization (μB per cell) = 0.68
- ΔE_f (meV per atom) = 377

Quantum ESPRESSO input file:
```
&SYSTEM
  ibrav = 0, nat = 4, ntyp = 3
/
ATOMIC_SPECIES
Tc 98.00 Tc.upf
Ag 107.87 Ag.upf
Au 196.97 Au.upf
ATOMIC_POSITIONS angstrom
Tc 0.000 0.000 0.000
Ag 4.385 0.000 2.626
Au 1.879 0.000 3.975
Au 6.891 0.000 1.278
CELL_PARAMETERS angstrom
4.743 -1.370 0.000
4.743 1.370 0.000
-0.717 0.000 5.252
```


Entry 3:
A relaxed TcAgAu2 crystal. Source: Alexandria, functional GGA-PBE. Values from VASP.

Calculated values
- magnetization (μB per cell) = 0.03
- ΔE_f (meV per atom) = 290

Quantum ESPRESSO input file:
```
&SYSTEM
  ibrav = 0, nat = 4, ntyp = 3
/
ATOMIC_SPECIES
Tc 98.00 Tc.upf
Ag 107.87 Ag.upf
Au 196.97 Au.upf
ATOMIC_POSITIONS angstrom
Tc 0.000 0.000 0.000
Ag 1.387 1.387 2.154
Au 0.000 0.000 4.406
Au 1.387 1.387 6.716
CELL_PARAMETERS angstrom
2.775 0.000 0.000
0.000 2.775 0.000
0.000 0.000 8.810
```


Entry 4:
A relaxed Tc2AgAu crystal. Source: Alexandria, functional GGA-PBE. Values from VASP.

Calculated values
- magnetization (μB per cell) = 0.00
- ΔE_f (meV per atom) = 460

Quantum ESPRESSO input file:
```
&SYSTEM
  ibrav = 0, nat = 4, ntyp = 3
/
ATOMIC_SPECIES
Tc 98.00 Tc.upf
Ag 107.87 Ag.upf
Au 196.97 Au.upf
ATOMIC_POSITIONS angstrom
Tc 2.216 0.000 1.179
Tc 6.751 0.000 3.538
Ag -0.390 0.000 2.358
Au 4.873 0.000 0.000
CELL_PARAMETERS angstrom
4.873 -1.390 0.000
4.873 1.390 0.000
-0.780 0.000 4.717
```


Entry 5:
A relaxed Tc3AgAu crystal. Source: Alexandria, functional GGA-PBE. Values from VASP.

Calculated values
- magnetization (μB per cell) = 8.75
- ΔE_f (meV per atom) = 2299

Quantum ESPRESSO input file:
```
&SYSTEM
  ibrav = 0, nat = 5, ntyp = 3
/
ATOMIC_SPECIES
Tc 98.00 Tc.upf
Ag 107.87 Ag.upf
Au 196.97 Au.upf
ATOMIC_POSITIONS angstrom
Tc 0.000 0.000 2.487
Tc 0.000 2.487 0.000
Tc 2.487 0.000 0.000
Ag 2.487 2.487 2.487
Au 0.000 0.000 0.000
CELL_PARAMETERS angstrom
4.975 0.000 0.000
0.000 4.975 0.000
0.000 0.000 4.975
```


Entry 6:
A relaxed Tc2AgAu crystal. Source: Alexandria, functional GGA-PBE. Values from VASP.

Calculated values
- magnetization (μB per cell) = 4.01
- ΔE_f (meV per atom) = 1075

Quantum ESPRESSO input file:
```
&SYSTEM
  ibrav = 0, nat = 8, ntyp = 3
/
ATOMIC_SPECIES
Tc 98.00 Tc.upf
Ag 107.87 Ag.upf
Au 196.97 Au.upf
ATOMIC_POSITIONS angstrom
Tc 5.585 1.805 -0.646
Tc 1.805 1.862 0.646
Tc -1.862 1.918 1.938
Tc 1.918 1.862 3.231
Ag 3.723 0.000 1.292
Ag 0.000 0.000 2.585
Au 0.000 0.000 0.000
Au 0.000 3.723 1.292
CELL_PARAMETERS angstrom
-3.723 3.723 2.585
3.723 -3.723 2.585
3.723 3.723 -2.585
```


Entry 7:
A relaxed AgTe2Au crystal. Source: Alexandria, functional GGA-PBE. Values from VASP.

Calculated values
- magnetization (μB per cell) = 0.00
- formation energy (no corrections) (eV/atom) = 0.37

Quantum ESPRESSO input file:
```
&SYSTEM
  ibrav = 0, nat = 4, ntyp = 3
/
ATOMIC_SPECIES
Ag 107.87 Ag.upf
Te 127.60 Te.upf
Au 196.97 Au.upf
ATOMIC_POSITIONS angstrom
Ag 0.000 0.000 0.000
Te 1.814 1.814 1.814
Te 3.629 3.629 3.629
Au 5.443 5.443 5.443
CELL_PARAMETERS angstrom
0.000 3.629 3.629
3.629 0.000 3.629
3.629 3.629 0.000
```


Entry 8:
A relaxed AgTe3Au2 crystal. Source: Alexandria, functional GGA-PBE. Values from VASP.

Calculated values
- magnetization (μB per cell) = 0.00
- formation energy (no corrections) (eV/atom) = 0.04

Quantum ESPRESSO input file:
```
&SYSTEM
  ibrav = 0, nat = 12, ntyp = 3
/
ATOMIC_SPECIES
Ag 107.87 Ag.upf
Te 127.60 Te.upf
Au 196.97 Au.upf
ATOMIC_POSITIONS angstrom
Ag 2.936 0.000 0.233
Ag 18.241 0.000 6.701
Te 1.566 0.000 2.877
Te 4.925 0.000 5.540
Te 8.883 0.000 1.430
Te 12.294 0.000 5.504
Te 16.252 0.000 1.394
Te 19.611 0.000 4.056
Au 4.291 0.000 2.812
Au 9.511 0.000 5.756
Au 11.666 0.000 1.178
Au 16.886 0.000 4.122
CELL_PARAMETERS angstrom
10.799 -2.128 0.000
10.799 2.128 0.000
-0.421 0.000 6.934
```


Entry 9:
A relaxed AgTeAu2 crystal. Source: Alexandria, functional GGA-PBE. Values from VASP.

Calculated values
- magnetization (μB per cell) = 0.00
- formation energy (no corrections) (eV/atom) = 0.09

Quantum ESPRESSO input file:
```
&SYSTEM
  ibrav = 0, nat = 4, ntyp = 3
/
ATOMIC_SPECIES
Ag 107.87 Ag.upf
Te 127.60 Te.upf
Au 196.97 Au.upf
ATOMIC_POSITIONS angstrom
Ag 0.000 0.000 0.000
Te 6.448 0.000 4.911
Au 2.650 0.000 1.389
Au 5.147 0.000 2.528
CELL_PARAMETERS angstrom
4.633 -1.522 0.000
4.633 1.522 0.000
-0.055 0.000 6.591
```


Entry 10:
A relaxed Ag3Te8Au3 crystal. Source: Alexandria, functional GGA-PBE. Values from VASP.

Calculated values
- magnetization (μB per cell) = 0.00
- formation energy (no corrections) (eV/atom) = 0.05

Quantum ESPRESSO input file:
```
&SYSTEM
  ibrav = 0, nat = 14, ntyp = 3
/
ATOMIC_SPECIES
Ag 107.87 Ag.upf
Te 127.60 Te.upf
Au 196.97 Au.upf
ATOMIC_POSITIONS angstrom
Ag 0.000 0.000 0.000
Ag 0.000 0.000 7.697
Ag 0.000 0.000 12.543
Te -2.274 -1.313 11.698
Te 0.000 0.000 4.903
Te 0.000 -2.626 8.542
Te -2.274 1.313 8.542
Te 2.274 -1.313 11.698
Te 0.000 2.626 11.698
Te 0.000 0.000 15.337
Te 2.274 1.313 8.542
Au -4.203 0.000 10.120
Au -2.101 1.213 3.373
Au 2.101 1.213 3.373
CELL_PARAMETERS angstrom
4.203 2.426 6.747
-4.203 2.426 6.747
0.000 -4.853 6.747
```


Entry 11:
A relaxed Ag2Te2Au crystal. Source: Alexandria, functional GGA-PBE. Values from VASP.

Calculated values
- magnetization (μB per cell) = 0.00
- formation energy (no corrections) (eV/atom) = 0.39

Quantum ESPRESSO input file:
```
&SYSTEM
  ibrav = 0, nat = 5, ntyp = 3
/
ATOMIC_SPECIES
Ag 107.87 Ag.upf
Te 127.60 Te.upf
Au 196.97 Au.upf
ATOMIC_POSITIONS angstrom
Ag 0.000 0.000 1.318
Ag 0.000 0.000 13.354
Te 2.109 0.000 3.668
Te 0.000 2.109 3.668
Au 0.000 0.000 7.336
CELL_PARAMETERS angstrom
-2.109 2.109 7.336
2.109 -2.109 7.336
2.109 2.109 -7.336
```


Entry 12:
A relaxed AgTeAu2 crystal. Source: Alexandria, functional GGA-PBE. Values from VASP.

Calculated values
- magnetization (μB per cell) = 0.00
- formation energy (no corrections) (eV/atom) = 0.08

Quantum ESPRESSO input file:
```
&SYSTEM
  ibrav = 0, nat = 4, ntyp = 3
/
ATOMIC_SPECIES
Ag 107.87 Ag.upf
Te 127.60 Te.upf
Au 196.97 Au.upf
ATOMIC_POSITIONS angstrom
Ag 0.000 0.000 0.000
Te 3.040 0.000 0.000
Au 1.520 1.530 2.181
Au 1.520 -1.530 2.181
CELL_PARAMETERS angstrom
3.040 -3.059 0.000
3.040 3.059 0.000
0.000 0.000 4.361
```


Entry 13:
A relaxed AgTe2Au crystal. Source: Alexandria, functional GGA-PBE. Values from VASP.

Calculated values
- magnetization (μB per cell) = 0.00
- formation energy (no corrections) (eV/atom) = 0.26

Quantum ESPRESSO input file:
```
&SYSTEM
  ibrav = 0, nat = 4, ntyp = 3
/
ATOMIC_SPECIES
Ag 107.87 Ag.upf
Te 127.60 Te.upf
Au 196.97 Au.upf
ATOMIC_POSITIONS angstrom
Ag 0.000 0.000 0.000
Te 1.986 1.986 1.529
Te 1.986 1.986 4.575
Au 0.000 0.000 3.052
CELL_PARAMETERS angstrom
3.971 0.000 0.000
0.000 3.971 0.000
0.000 0.000 6.104
```


Entry 14:
A relaxed Ag2Te6Au crystal. Source: Alexandria, functional GGA-PBE. Values from VASP.

Calculated values
- magnetization (μB per cell) = 0.00
- formation energy (no corrections) (eV/atom) = 0.04

Quantum ESPRESSO input file:
```
&SYSTEM
  ibrav = 0, nat = 18, ntyp = 3
/
ATOMIC_SPECIES
Ag 107.87 Ag.upf
Te 127.60 Te.upf
Au 196.97 Au.upf
ATOMIC_POSITIONS angstrom
Ag 2.983 0.176 2.158
Ag 2.654 -0.176 5.397
Ag 11.619 0.176 1.081
Ag 11.289 -0.176 4.321
Te 5.969 4.424 2.811
Te 4.528 1.910 5.814
Te 8.633 4.424 0.428
Te 5.506 1.644 2.242
Te 9.096 1.644 0.998
Te 9.415 1.910 3.904
Te 4.858 -1.910 2.575
Te 5.176 -1.644 5.481
Te 8.767 -1.644 4.237
Te 5.639 -4.424 6.051
Te 9.744 -1.910 0.665
Te 8.304 -4.424 3.667
Au 6.971 1.544 4.859
Au 7.301 -1.544 1.620
CELL_PARAMETERS angstrom
7.466 -5.585 0.000
7.466 5.585 0.000
-0.659 0.000 6.479
```


Entry 15:
A relaxed Ag2Te2Au crystal. Source: Alexandria, functional GGA-PBE. Values from VASP.

Calculated values
- magnetization (μB per cell) = 0.00
- formation energy (no corrections) (eV/atom) = 0.11

Quantum ESPRESSO input file:
```
&SYSTEM
  ibrav = 0, nat = 10, ntyp = 3
/
ATOMIC_SPECIES
Ag 107.87 Ag.upf
Te 127.60 Te.upf
Au 196.97 Au.upf
ATOMIC_POSITIONS angstrom
Ag 0.989 2.899 0.000
Ag 2.899 6.788 0.000
Ag 4.878 0.989 0.000
Ag 6.788 4.878 0.000
Te 1.444 5.332 2.056
Te 2.445 1.444 2.056
Te 5.332 6.333 2.056
Te 6.333 2.445 2.056
Au 0.000 0.000 2.056
Au 3.889 3.889 2.056
CELL_PARAMETERS angstrom
7.777 0.000 0.000
0.000 7.777 0.000
0.000 0.000 4.112
```


Entry 16:
A relaxed Ag3Te12Au5 crystal. Source: Alexandria, functional GGA-PBE. Values from VASP.

Calculated values
- magnetization (μB per cell) = 0.00
- formation energy (no corrections) (eV/atom) = 0.12

Quantum ESPRESSO input file:
```
&SYSTEM
  ibrav = 0, nat = 80, ntyp = 3
/
ATOMIC_SPECIES
Ag 107.87 Ag.upf
Te 127.60 Te.upf
Au 196.97 Au.upf
ATOMIC_POSITIONS angstrom
Ag 4.278 2.139 0.000
Ag 8.556 4.278 -2.139
Ag 2.139 0.000 4.278
Ag 10.695 0.000 4.278
Ag 0.000 4.278 2.139
Ag 4.278 -2.139 8.556
Ag 4.278 10.695 0.000
Ag 8.556 4.278 6.417
Ag -2.139 8.556 4.278
Ag 6.417 8.556 4.278
Ag 0.000 4.278 10.695
Ag 4.278 6.417 8.556
Te 2.718 -0.120 0.854
Te 10.116 5.132 -4.398
Te 11.274 0.120 0.854
Te 10.116 -3.424 4.398
Te 8.437 -0.854 2.718
Te 12.954 -1.560 3.424
Te 0.854 2.718 -0.120
Te 11.980 4.158 -1.560
Te 5.132 4.398 -1.560
Te 7.702 2.718 0.120
Te -0.120 0.854 2.718
Te 4.398 -1.560 5.132
Te 8.437 7.702 -2.718
Te 4.398 1.560 3.424
Te 5.132 -4.398 10.116
Te 7.702 -2.718 8.437
Te 3.424 4.398 1.560
Te 9.410 5.838 0.120
Te 4.398 10.116 -3.424
Te 8.437 0.854 5.838
Te 2.718 8.437 -0.854
Te 10.116 3.424 4.158
Te 1.560 3.424 4.398
Te 2.718 0.120 7.702
Te 5.838 8.437 0.854
Te 6.996 5.132 4.158
Te -1.560 5.132 4.398
Te 5.838 0.120 9.410
Te 0.120 7.702 2.718
Te 4.158 -1.560 11.980
Te -0.854 2.718 8.437
Te 5.132 4.158 6.996
Te 0.854 11.274 0.120
Te 3.424 12.954 -1.560
Te 4.158 6.996 5.132
Te 0.120 0.854 11.274
Te 4.158 10.116 3.424
Te 8.676 7.702 5.838
Te 0.854 5.838 8.437
Te 3.424 4.158 10.116
Te -3.424 4.398 10.116
Te 7.702 5.838 8.676
Te -4.398 10.116 5.132
Te 0.120 9.410 5.838
Te -1.560 11.980 4.158
Te -2.718 8.437 7.702
Te -1.560 3.424 12.954
Te 5.838 8.676 7.702
Au 0.000 0.000 0.000
Au 4.278 4.278 -4.278
Au 4.278 -4.278 4.278
Au 8.556 0.000 0.000
Au 12.834 2.139 0.000
Au 8.556 -4.278 6.417
Au 6.417 8.556 -4.278
Au 6.417 0.000 4.278
Au 4.278 6.417 0.000
Au 8.556 4.278 2.139
Au -4.278 4.278 4.278
Au 0.000 8.556 0.000
Au 0.000 0.000 8.556
Au 4.278 4.278 4.278
Au 0.000 4.278 6.417
Au 4.278 2.139 8.556
Au 2.139 8.556 4.278
Au 2.139 0.000 12.834
Au 0.000 12.834 2.139
Au -4.278 6.417 8.556
CELL_PARAMETERS angstrom
-8.556 8.556 8.556
8.556 -8.556 8.556
8.556 8.556 -8.556
```


Entry 17:
A relaxed Ag5Te3Au crystal. Source: Alexandria, functional GGA-PBE. Values from VASP.

Calculated values
- magnetization (μB per cell) = 0.00
- formation energy (no corrections) (eV/atom) = -0.01

Quantum ESPRESSO input file:
```
&SYSTEM
  ibrav = 0, nat = 18, ntyp = 3
/
ATOMIC_SPECIES
Ag 107.87 Ag.upf
Te 127.60 Te.upf
Au 196.97 Au.upf
ATOMIC_POSITIONS angstrom
Ag 2.783 1.566 8.369
Ag 4.098 1.536 3.558
Ag 5.593 1.539 7.292
Ag 8.402 1.566 6.215
Ag 9.643 1.536 1.303
Ag 2.820 -1.536 8.420
Ag 4.061 -1.566 3.507
Ag 6.871 -1.539 2.431
Ag 8.365 -1.536 6.164
Ag 9.680 -1.566 1.354
Te 0.000 0.000 0.000
Te -1.278 0.000 4.861
Te 4.689 0.005 1.168
Te 3.411 -0.005 6.030
Te 9.053 0.005 3.693
Te 7.775 -0.005 8.554
Au 6.871 1.487 2.431
Au 5.593 -1.487 7.292
CELL_PARAMETERS angstrom
7.509 -3.053 0.000
7.509 3.053 0.000
-2.556 0.000 9.723
```


Entry 18:
A relaxed AgTe2Au crystal. Source: Alexandria, functional GGA-PBE. Values from VASP.

Calculated values
- magnetization (μB per cell) = 0.00
- formation energy (no corrections) (eV/atom) = 0.14

Quantum ESPRESSO input file:
```
&SYSTEM
  ibrav = 0, nat = 8, ntyp = 3
/
ATOMIC_SPECIES
Ag 107.87 Ag.upf
Te 127.60 Te.upf
Au 196.97 Au.upf
ATOMIC_POSITIONS angstrom
Ag 0.000 0.000 0.000
Ag -0.008 0.000 4.484
Te 0.867 2.495 2.240
Te 1.531 0.000 6.728
Te 3.229 0.000 2.239
Te 3.893 2.495 6.728
Au 2.388 2.495 0.000
Au 2.380 2.495 4.484
CELL_PARAMETERS angstrom
4.776 0.000 0.000
0.000 4.991 0.000
-0.015 0.000 8.967
```


Entry 19:
A relaxed Ag2TeAu2 crystal. Source: Alexandria, functional GGA-PBE. Values from VASP.

Calculated values
- magnetization (μB per cell) = 0.00
- formation energy (no corrections) (eV/atom) = 0.06

Quantum ESPRESSO input file:
```
&SYSTEM
  ibrav = 0, nat = 10, ntyp = 3
/
ATOMIC_SPECIES
Ag 107.87 Ag.upf
Te 127.60 Te.upf
Au 196.97 Au.upf
ATOMIC_POSITIONS angstrom
Ag 1.305 2.696 0.000
Ag 2.696 6.697 0.000
Ag 5.306 1.305 0.000
Ag 6.697 5.306 0.000
Te 0.000 0.000 1.599
Te 4.001 4.001 1.599
Au 1.053 5.055 1.599
Au 2.948 1.053 1.599
Au 5.055 6.949 1.599
Au 6.949 2.948 1.599
CELL_PARAMETERS angstrom
8.003 0.000 0.000
0.000 8.003 0.000
0.000 0.000 3.199
```


Entry 20:
A relaxed AgTe2Au crystal. Source: Alexandria, functional GGA-PBE. Values from VASP.

Calculated values
- magnetization (μB per cell) = 0.00
- formation energy (no corrections) (eV/atom) = -0.02

Quantum ESPRESSO input file:
```
&SYSTEM
  ibrav = 0, nat = 4, ntyp = 3
/
ATOMIC_SPECIES
Ag 107.87 Ag.upf
Te 127.60 Te.upf
Au 196.97 Au.upf
ATOMIC_POSITIONS angstrom
Ag 0.000 0.000 0.000
Te 0.521 0.000 4.877
Te 4.763 0.000 1.618
Au 2.642 0.000 3.247
CELL_PARAMETERS angstrom
3.926 -2.101 0.000
3.926 2.101 0.000
-2.569 0.000 6.495
```